Computed, not measured: a geometry-optimized ZrZn2Ni structure at the PBE level of DFT. Values from VASP.

* calculated formation energy: -0.232 eV/atom
* total magnetic moment: 0.000 μB/f.u.

The structure in Quantum ESPRESSO input format:
```
&SYSTEM
  ibrav = 0, nat = 4, ntyp = 3
/
ATOMIC_SPECIES
Zn 65.41 Zn.upf
Ni 58.69 Ni.upf
Zr 91.22 Zr.upf
CELL_PARAMETERS angstrom
-0.433 0.056 2.994
-0.959 -2.868 -0.085
6.354 -2.153 0.959
ATOMIC_POSITIONS crystal
Zn 0.000 0.000 0.980
Zn 0.500 0.500 0.216
Ni 0.500 0.500 0.779
Zr 0.000 0.000 0.524
```


Computed, not measured: a geometry-optimized ZrZnNi2 structure at the PBE level of DFT. Values from VASP.

* calculated formation energy: -0.307 eV/atom
* total magnetic moment: 0.000 μB/f.u.

The structure in Quantum ESPRESSO input format:
```
&SYSTEM
  ibrav = 0, nat = 4, ntyp = 3
/
ATOMIC_SPECIES
Zr 91.22 Zr.upf
Zn 65.41 Zn.upf
Ni 58.69 Ni.upf
CELL_PARAMETERS angstrom
-1.636 1.318 2.353
-0.751 -2.865 1.083
4.791 0.002 3.329
ATOMIC_POSITIONS crystal
Zr 0.500 0.500 0.750
Zn 0.500 0.500 0.250
Ni 0.000 0.000 0.475
Ni 0.000 0.000 0.025
```


Computed, not measured: a geometry-optimized Zr4ZnNi structure at the PBE level of DFT. Values from VASP.

* calculated formation energy: 0.509 eV/atom
* total magnetic moment: 0.000 μB/f.u.

The structure in Quantum ESPRESSO input format:
```
&SYSTEM
  ibrav = 0, nat = 6, ntyp = 3
/
ATOMIC_SPECIES
Ni 58.69 Ni.upf
Zr 91.22 Zr.upf
Zn 65.41 Zn.upf
CELL_PARAMETERS angstrom
0.000 3.977 3.977
3.977 0.000 3.977
3.977 3.977 0.000
ATOMIC_POSITIONS crystal
Ni 0.250 0.250 0.250
Zr 0.126 0.625 0.625
Zr 0.625 0.625 0.126
Zr 0.625 0.625 0.625
Zr 0.625 0.126 0.625
Zn 0.000 0.000 0.000
```